No. 1
## KTeO2 (GGA-PBE)

Data for an optimized crystal structure of KTeO2.

Properties
The uncorrected formation energy comes out at -795 meV/atom. The calculated volume comes out at 77 Å³/f.u. The magnetic moment is 0.00 μB per formula unit.

a = 3.5121 Å, b = 3.5121 Å, c = 21.7445 Å
α = 90.00°, β = 90.00°, γ = 120.00°
Space group R-3m (No. 166, hexagonal axes)
One atom of each set of equivalent atoms:
K 0.0000 0.0000 0.0000 x3
Te 0.0000 0.0000 0.5000 x3
O 0.0000 0.0000 0.4113 x6

=====

No. 2
## MgGa2GeN4 (GGA-PBE)

Data for an optimized crystal structure of MgGa2GeN4.

Properties
The uncorrected formation energy comes out at -513 meV/atom. The calculated volume comes out at 95 Å³/f.u. The magnetic moment is 0.00 μB per formula unit.

a = 4.621 Å, b = 4.621 Å, c = 8.899 Å
α = 90.00°, β = 90.00°, γ = 90.00°
Space group I-42m (No. 121)
One atom of each set of equivalent atoms:
Mg 0.000 0.000 0.000 x2
Ga 0.000 0.500 0.250 x4
Ge 0.000 0.000 0.500 x2
N 0.232 0.232 0.626 x8